# KW2Se (GGA-PBE, relaxed)
# SG: Cmm2
# Raw formation energy, eV per atom: 0.597
data_KW2Se
_symmetry_space_group_name_H-M 'P 1'
_symmetry_Int_Tables_number 1
_cell_length_a 3.020
_cell_length_b 3.020
_cell_length_c 9.751
_cell_angle_alpha 90.00
_cell_angle_beta 90.00
_cell_angle_gamma 111.99
loop_
_symmetry_equiv_pos_as_xyz
'x,y,z'
loop_
_atom_site_label
_atom_site_fract_x
_atom_site_fract_y
_atom_site_fract_z
K1 0.000 0.000 0.000
W1 0.000 0.000 0.488
W2 0.500 0.500 0.684
Se1 0.500 0.500 0.272

=====

# DyPuMgTl (GGA-PBE, relaxed)
# SG: F-43m
# Calculated formation energy, kJ per mole of atoms: -4.17
data_DyPuMgTl
_symmetry_space_group_name_H-M 'P 1'
_symmetry_Int_Tables_number 1
_cell_length_a 5.367
_cell_length_b 5.367
_cell_length_c 5.367
_cell_angle_alpha 60.00
_cell_angle_beta 60.00
_cell_angle_gamma 60.00
loop_
_symmetry_equiv_pos_as_xyz
'x,y,z'
loop_
_atom_site_label
_atom_site_fract_x
_atom_site_fract_y
_atom_site_fract_z
Dy1 0.000 0.000 0.000
Pu1 0.500 0.500 0.500
Mg1 0.250 0.250 0.250
Tl1 0.750 0.750 0.750

=====

# Fe2RhSe (GGA-PBE, relaxed)
# SG: P4/mmm
# Raw formation energy, eV per atom: 0.366
data_Fe2RhSe
_symmetry_space_group_name_H-M 'P 1'
_symmetry_Int_Tables_number 1
_cell_length_a 3.732
_cell_length_b 3.732
_cell_length_c 3.649
_cell_angle_alpha 90.00
_cell_angle_beta 90.00
_cell_angle_gamma 90.00
loop_
_symmetry_equiv_pos_as_xyz
'x,y,z'
loop_
_atom_site_label
_atom_site_fract_x
_atom_site_fract_y
_atom_site_fract_z
Fe1 0.000 0.500 0.000
Fe2 0.500 0.000 0.000
Rh1 0.000 0.000 0.500
Se1 0.500 0.500 0.500

=====

# Mg12Tl6Cd (GGA-PBE, relaxed)
# SG: R-3
# Calculated formation energy, kJ per mole of atoms: 2.62
data_Mg12Tl6Cd
_symmetry_space_group_name_H-M 'P 1'
_symmetry_Int_Tables_number 1
_cell_length_a 7.786
_cell_length_b 7.786
_cell_length_c 7.786
_cell_angle_alpha 91.83
_cell_angle_beta 91.83
_cell_angle_gamma 91.83
loop_
_symmetry_equiv_pos_as_xyz
'x,y,z'
loop_
_atom_site_label
_atom_site_fract_x
_atom_site_fract_y
_atom_site_fract_z
Mg1 0.032 0.940 0.298
Mg2 0.060 0.702 0.968
Mg3 0.136 0.465 0.354
Mg4 0.298 0.032 0.940
Mg5 0.354 0.136 0.465
Mg6 0.465 0.354 0.136
Mg7 0.535 0.646 0.864
Mg8 0.646 0.864 0.535
Mg9 0.702 0.968 0.060
Mg10 0.864 0.535 0.646
Mg11 0.940 0.298 0.032
Mg12 0.968 0.060 0.702
Tl1 0.215 0.783 0.619
Tl2 0.217 0.381 0.785
Tl3 0.381 0.785 0.217
Tl4 0.619 0.215 0.783
Tl5 0.783 0.619 0.215
Tl6 0.785 0.217 0.381
Cd1 0.500 0.500 0.500

=====

# NaNdLuIn (GGA-PBE, relaxed)
# SG: F-43m
# Calculated formation energy, kJ per mole of atoms: -10.99
data_NaNdLuIn
_symmetry_space_group_name_H-M 'P 1'
_symmetry_Int_Tables_number 1
_cell_length_a 5.428
_cell_length_b 5.428
_cell_length_c 5.428
_cell_angle_alpha 60.00
_cell_angle_beta 60.00
_cell_angle_gamma 60.00
loop_
_symmetry_equiv_pos_as_xyz
'x,y,z'
loop_
_atom_site_label
_atom_site_fract_x
_atom_site_fract_y
_atom_site_fract_z
Na1 0.000 0.000 0.000
Nd1 0.250 0.250 0.250
Lu1 0.750 0.750 0.750
In1 0.500 0.500 0.500

=====

# Na3Ce3ZnS8 (GGA-PBE, relaxed)
# SG: C2/m
# Raw formation energy, eV per atom: -1.475
data_Na3Ce3ZnS8
_symmetry_space_group_name_H-M 'P 1'
_symmetry_Int_Tables_number 1
_cell_length_a 8.010
_cell_length_b 8.010
_cell_length_c 8.109
_cell_angle_alpha 119.61
_cell_angle_beta 119.61
_cell_angle_gamma 60.03
loop_
_symmetry_equiv_pos_as_xyz
'x,y,z'
loop_
_atom_site_label
_atom_site_fract_x
_atom_site_fract_y
_atom_site_fract_z
Na1 0.000 0.000 0.000
Na2 0.000 0.500 0.000
Na3 0.500 0.000 0.000
Ce1 0.000 0.500 0.500
Ce2 0.500 0.000 0.500
Ce3 0.500 0.500 0.500
Zn1 0.000 0.000 0.500
S1 0.232 0.232 0.715
S2 0.233 0.750 0.716
S3 0.250 0.767 0.284
S4 0.255 0.255 0.266
S5 0.745 0.745 0.734
S6 0.750 0.233 0.716
S7 0.767 0.250 0.284
S8 0.768 0.768 0.285

=====

# Be2AlTc (GGA-PBE, relaxed)
# SG: Pm
# Calculated formation energy, kJ per mole of atoms: -10.40
data_Be2AlTc
_symmetry_space_group_name_H-M 'P 1'
_symmetry_Int_Tables_number 1
_cell_length_a 2.665
_cell_length_b 3.737
_cell_length_c 4.818
_cell_angle_alpha 90.00
_cell_angle_beta 105.91
_cell_angle_gamma 90.00
loop_
_symmetry_equiv_pos_as_xyz
'x,y,z'
loop_
_atom_site_label
_atom_site_fract_x
_atom_site_fract_y
_atom_site_fract_z
Be1 0.000 0.000 0.000
Be2 0.126 0.500 0.249
Al1 0.383 0.500 0.768
Tc1 0.725 0.000 0.456